Entry 1:
Compound: MgZnIn2
Source: the Alexandria database
Functional: SCAN
Structure: single point on PBEsol structure

Properties
energy of formation: 0.02 eV per atom
space-group type: R3m
volume: 21.69 Å³/atom

a = 9.319 Å, b = 9.319 Å, c = 9.319 Å
α = 20.48°, β = 20.48°, γ = 20.48°
Positions (direct):
Mg1 0.000 0.000 0.000
Zn1 0.259 0.259 0.259
In1 0.514 0.514 0.514
In2 0.756 0.756 0.756



Entry 2:
Compound: MgZnIn2
Source: the Alexandria database
Functional: SCAN
Structure: single point on PBEsol structure

Properties
energy of formation: 0.00 eV per atom
space-group type: R-3m
volume: 21.51 Å³/atom

a = 9.181 Å, b = 9.181 Å, c = 9.181 Å
α = 20.87°, β = 20.87°, γ = 20.87°
Positions (direct):
Mg1 0.000 0.000 0.000
Zn1 0.500 0.500 0.500
In1 0.245 0.245 0.245
In2 0.755 0.755 0.755



Entry 3:
Compound: MgZnIn4
Source: the Alexandria database
Functional: SCAN
Structure: single point on PBEsol structure

Properties
energy of formation: 0.25 eV per atom
space-group type: F-43m
volume: 25.38 Å³/atom

a = 5.994 Å, b = 5.994 Å, c = 5.994 Å
α = 60.00°, β = 60.00°, γ = 60.00°
Positions (direct):
Mg1 0.000 0.000 0.000
Zn1 0.250 0.250 0.250
In1 0.126 0.625 0.625
In2 0.625 0.126 0.625
In3 0.625 0.625 0.126
In4 0.625 0.625 0.625



Entry 4:
Compound: MgZnIn2
Source: the Alexandria database
Functional: SCAN
Structure: single point on PBEsol structure

Properties
energy of formation: -0.01 eV per atom
space-group type: Pmmm
volume: 21.12 Å³/atom

a = 3.226 Å, b = 4.217 Å, c = 6.210 Å
α = 90.00°, β = 90.00°, γ = 90.00°
Positions (direct):
Mg1 0.000 0.000 0.000
Zn1 0.000 0.000 0.500
In1 0.500 0.500 0.260
In2 0.500 0.500 0.740



Entry 5:
Compound: MgZnIn2
Source: the Alexandria database
Functional: SCAN
Structure: single point on PBEsol structure

Properties
energy of formation: 0.00 eV per atom
space-group type: Pmm2
volume: 21.24 Å³/atom

a = 3.266 Å, b = 4.232 Å, c = 6.148 Å
α = 90.00°, β = 90.00°, γ = 90.00°
Positions (direct):
Mg1 0.000 0.000 0.000
Zn1 0.500 0.500 0.233
In1 0.000 0.000 0.472
In2 0.500 0.500 0.751



Entry 6:
Compound: MgZnIn2
Source: the Alexandria database
Functional: SCAN
Structure: single point on PBEsol structure

Properties
energy of formation: 0.00 eV per atom
space-group type: Cmmm
volume: 21.10 Å³/atom

a = 5.232 Å, b = 5.232 Å, c = 3.225 Å
α = 90.00°, β = 90.00°, γ = 107.05°
Positions (direct):
Mg1 0.000 0.000 0.000
Zn1 0.500 0.500 0.000
In1 0.000 0.500 0.500
In2 0.500 0.000 0.500



Entry 7:
Compound: MgZrIn
Source: the Alexandria database
Functional: SCAN
Structure: single point on PBEsol structure

Properties
energy of formation: -0.27 eV per atom
space-group type: P-6m2
volume: 21.22 Å³/atom

a = 4.760 Å, b = 4.760 Å, c = 3.244 Å
α = 90.00°, β = 90.00°, γ = 120.00°
Positions (direct):
Mg1 0.000 0.000 0.000
Zr1 0.667 0.333 0.500
In1 0.333 0.667 0.000



Entry 8:
Compound: MgZrIn2
Source: the Alexandria database
Functional: SCAN
Structure: single point on PBEsol structure

Properties
energy of formation: -0.41 eV per atom
space-group type: P4/mmm
volume: 20.92 Å³/atom

a = 4.423 Å, b = 4.423 Å, c = 4.278 Å
α = 90.00°, β = 90.00°, γ = 90.00°
Positions (direct):
Mg1 0.000 0.000 0.000
Zr1 0.500 0.500 0.000
In1 0.000 0.500 0.500
In2 0.500 0.000 0.500



Entry 9:
Compound: MgZr4In
Source: the Alexandria database
Functional: SCAN
Structure: single point on PBEsol structure

Properties
energy of formation: 0.19 eV per atom
space-group type: F-43m
volume: 22.30 Å³/atom

a = 5.741 Å, b = 5.741 Å, c = 5.741 Å
α = 60.00°, β = 60.00°, γ = 60.00°
Positions (direct):
Mg1 0.000 0.000 0.000
Zr1 0.374 0.374 0.374
Zr2 0.374 0.374 0.877
Zr3 0.374 0.877 0.374
Zr4 0.877 0.374 0.374
In1 0.750 0.750 0.750



Entry 10:
Compound: MgZrIn4
Source: the Alexandria database
Functional: SCAN
Structure: single point on PBEsol structure

Properties
energy of formation: 0.03 eV per atom
space-group type: F-43m
volume: 23.11 Å³/atom

a = 5.810 Å, b = 5.810 Å, c = 5.810 Å
α = 60.00°, β = 60.00°, γ = 60.00°
Positions (direct):
Mg1 0.000 0.000 0.000
Zr1 0.750 0.750 0.750
In1 0.375 0.375 0.375
In2 0.375 0.375 0.875
In3 0.375 0.875 0.375
In4 0.875 0.375 0.375



Entry 11:
Compound: MgZrIn2
Source: the Alexandria database
Functional: SCAN
Structure: single point on PBEsol structure

Properties
energy of formation: -0.35 eV per atom
space-group type: Cmmm
volume: 21.44 Å³/atom

a = 5.370 Å, b = 5.370 Å, c = 3.141 Å
α = 90.00°, β = 90.00°, γ = 108.76°
Positions (direct):
Mg1 0.000 0.000 0.000
Zr1 0.500 0.500 0.000
In1 0.000 0.500 0.500
In2 0.500 0.000 0.500



Entry 12:
Compound: MgZrIn2
Source: the Alexandria database
Functional: SCAN
Structure: single point on PBEsol structure

Properties
energy of formation: -0.12 eV per atom
space-group type: P4mm
volume: 22.34 Å³/atom

a = 3.799 Å, b = 3.799 Å, c = 6.191 Å
α = 90.00°, β = 90.00°, γ = 90.00°
Positions (direct):
Mg1 0.000 0.000 0.000
Zr1 0.500 0.500 0.259
In1 0.000 0.000 0.493
In2 0.500 0.500 0.764



Entry 13:
Compound: Mg2ZrIn
Source: the Alexandria database
Functional: SCAN
Structure: single point on PBEsol structure

Properties
energy of formation: -0.29 eV per atom
space-group type: P4/mmm
volume: 20.96 Å³/atom

a = 4.319 Å, b = 4.319 Å, c = 4.494 Å
α = 90.00°, β = 90.00°, γ = 90.00°
Positions (direct):
Mg1 0.000 0.500 0.000
Mg2 0.500 0.000 0.000
Zr1 0.000 0.000 0.500
In1 0.500 0.500 0.500



Entry 14:
Compound: Mg2ZrIn
Source: the Alexandria database
Functional: SCAN
Structure: single point on PBEsol structure

Properties
energy of formation: -0.11 eV per atom
space-group type: I-4m2
volume: 21.31 Å³/atom

a = 5.362 Å, b = 5.362 Å, c = 5.362 Å
α = 131.27°, β = 131.27°, γ = 71.38°
Positions (direct):
Mg1 0.000 0.000 0.000
Mg2 0.750 0.250 0.500
Zr1 0.500 0.500 0.000
In1 0.250 0.750 0.500



Entry 15:
Compound: Mn3In2
Source: the Alexandria database
Functional: SCAN
Structure: single point on PBEsol structure

Properties
energy of formation: 0.18 eV per atom
space-group type: P-3m1
volume: 18.45 Å³/atom

a = 4.412 Å, b = 4.412 Å, c = 5.472 Å
α = 90.00°, β = 90.00°, γ = 120.00°
Positions (direct):
Mn1 0.000 0.000 0.000
Mn2 0.333 0.667 0.338
Mn3 0.667 0.333 0.662
In1 0.333 0.667 0.817
In2 0.667 0.333 0.183



Entry 16:
Compound: Mn3In2
Source: the Alexandria database
Functional: SCAN
Structure: single point on PBEsol structure

Properties
energy of formation: 0.34 eV per atom
space-group type: R-3m
volume: 15.25 Å³/atom

a = 10.711 Å, b = 10.711 Å, c = 10.711 Å
α = 15.48°, β = 15.48°, γ = 15.48°
Positions (direct):
Mn1 0.000 0.000 0.000
Mn2 0.191 0.191 0.191
Mn3 0.809 0.809 0.809
In1 0.405 0.405 0.405
In2 0.595 0.595 0.595



Entry 17:
Compound: Mn3In
Source: the Alexandria database
Functional: SCAN
Structure: single point on PBEsol structure

Properties
energy of formation: 0.03 eV per atom
space-group type: Pmm2
volume: 13.77 Å³/atom

a = 2.738 Å, b = 4.309 Å, c = 4.670 Å
α = 90.00°, β = 90.00°, γ = 90.00°
Positions (direct):
Mn1 0.000 0.000 0.000
Mn2 0.000 0.500 0.310
Mn3 0.500 0.500 0.868
In1 0.500 0.000 0.500



Entry 18:
Compound: Mn3In
Source: the Alexandria database
Functional: SCAN
Structure: single point on PBEsol structure

Properties
energy of formation: 0.03 eV per atom
space-group type: P4/mmm
volume: 13.21 Å³/atom

a = 2.719 Å, b = 2.719 Å, c = 7.148 Å
α = 90.00°, β = 90.00°, γ = 90.00°
Positions (direct):
Mn1 0.000 0.000 0.000
Mn2 0.500 0.500 0.210
Mn3 0.500 0.500 0.790
In1 0.000 0.000 0.500



Entry 19:
Compound: MnIn3
Source: the Alexandria database
Functional: SCAN
Structure: single point on PBEsol structure

Properties
energy of formation: 0.06 eV per atom
space-group type: I4/mmm
volume: 20.56 Å³/atom

a = 5.453 Å, b = 5.453 Å, c = 5.453 Å
α = 134.10°, β = 134.10°, γ = 66.93°
Positions (direct):
Mn1 0.000 0.000 0.000
In1 0.250 0.750 0.500
In2 0.500 0.500 0.000
In3 0.750 0.250 0.500



Entry 20:
Compound: MnIn3
Source: the Alexandria database
Functional: SCAN
Structure: single point on PBEsol structure

Properties
energy of formation: 0.08 eV per atom
space-group type: Cmmm
volume: 21.02 Å³/atom

a = 5.283 Å, b = 5.283 Å, c = 3.219 Å
α = 90.00°, β = 90.00°, γ = 110.66°
Positions (direct):
Mn1 0.000 0.000 0.000
In1 0.000 0.500 0.500
In2 0.500 0.000 0.500
In3 0.500 0.500 0.000



Entry 21:
Compound: MnIn2Mo
Source: the Alexandria database
Functional: SCAN
Structure: single point on PBEsol structure

Properties
energy of formation: 0.20 eV per atom
space-group type: Pmmm
volume: 17.16 Å³/atom

a = 2.860 Å, b = 4.084 Å, c = 5.876 Å
α = 90.00°, β = 90.00°, γ = 90.00°
Positions (direct):
Mn1 0.000 0.000 0.000
In1 0.500 0.500 0.247
In2 0.500 0.500 0.753
Mo1 0.000 0.000 0.500



Entry 22:
Compound: MnInMo2
Source: the Alexandria database
Functional: SCAN
Structure: single point on PBEsol structure

Properties
energy of formation: 0.27 eV per atom
space-group type: Cmmm
volume: 15.58 Å³/atom

a = 5.086 Å, b = 5.086 Å, c = 2.706 Å
α = 90.00°, β = 90.00°, γ = 117.14°
Positions (direct):
Mn1 0.000 0.000 0.000
In1 0.500 0.500 0.000
Mo1 0.000 0.500 0.500
Mo2 0.500 0.000 0.500



Entry 23:
Compound: MnIn2Mo
Source: the Alexandria database
Functional: SCAN
Structure: single point on PBEsol structure

Properties
energy of formation: 0.22 eV per atom
space-group type: Imm2
volume: 17.47 Å³/atom

a = 5.563 Å, b = 5.563 Å, c = 5.563 Å
α = 147.26°, β = 130.77°, γ = 60.39°
Positions (direct):
Mn1 0.000 0.000 0.000
In1 0.465 0.465 0.000
In2 0.745 0.245 0.500
Mo1 0.200 0.700 0.500



Entry 24:
Compound: MnInMo2
Source: the Alexandria database
Functional: SCAN
Structure: single point on PBEsol structure

Properties
energy of formation: 0.29 eV per atom
space-group type: Pmmm
volume: 15.38 Å³/atom

a = 2.868 Å, b = 3.697 Å, c = 5.800 Å
α = 90.00°, β = 90.00°, γ = 90.00°
Positions (direct):
Mn1 0.000 0.000 0.000
In1 0.000 0.000 0.500
Mo1 0.500 0.500 0.206
Mo2 0.500 0.500 0.794



Entry 25:
Compound: MnIn2Mo
Source: the Alexandria database
Functional: SCAN
Structure: single point on PBEsol structure

Properties
energy of formation: 0.28 eV per atom
space-group type: Fm-3m
volume: 17.13 Å³/atom

a = 4.593 Å, b = 4.593 Å, c = 4.593 Å
α = 60.00°, β = 60.00°, γ = 60.00°
Positions (direct):
Mn1 0.000 0.000 0.000
In1 0.250 0.250 0.250
In2 0.750 0.750 0.750
Mo1 0.500 0.500 0.500



Entry 26:
Compound: MnInMo2
Source: the Alexandria database
Functional: SCAN
Structure: single point on PBEsol structure

Properties
energy of formation: 0.26 eV per atom
space-group type: P4/mmm
volume: 15.20 Å³/atom

a = 2.819 Å, b = 2.819 Å, c = 7.650 Å
α = 90.00°, β = 90.00°, γ = 90.00°
Positions (direct):
Mn1 0.000 0.000 0.000
In1 0.000 0.000 0.500
Mo1 0.500 0.500 0.206
Mo2 0.500 0.500 0.794



Entry 27:
Compound: MnInTeN2
Source: the Alexandria database
Functional: SCAN
Structure: single point on PBEsol structure

Properties
uncorrected formation energy: 1.151 eV/atom
space-group type: P4/mmm
volume: 20.90 Å³/atom

a = 4.138 Å, b = 4.138 Å, c = 6.103 Å
α = 90.00°, β = 90.00°, γ = 90.00°
Positions (direct):
Mn1 0.000 0.000 0.000
In1 0.500 0.500 0.500
Te1 0.500 0.500 0.000
N1 0.000 0.500 0.500
N2 0.500 0.000 0.500



Entry 28:
Compound: Mn2InNi
Source: the Alexandria database
Functional: SCAN
Structure: single point on PBEsol structure

Properties
energy of formation: -0.11 eV per atom
space-group type: I4/mmm
volume: 13.92 Å³/atom

a = 4.673 Å, b = 4.673 Å, c = 4.673 Å
α = 131.74°, β = 131.74°, γ = 70.65°
Positions (direct):
Mn1 0.250 0.750 0.500
Mn2 0.750 0.250 0.500
In1 0.000 0.000 0.000
Ni1 0.500 0.500 0.000



Entry 29:
Compound: MnInNiPb2
Source: the Alexandria database
Functional: SCAN
Structure: single point on PBEsol structure

Properties
energy of formation: 0.33 eV per atom
space-group type: P4/mmm
volume: 24.63 Å³/atom

a = 5.029 Å, b = 5.029 Å, c = 4.869 Å
α = 90.00°, β = 90.00°, γ = 90.00°
Positions (direct):
Mn1 0.000 0.000 0.000
In1 0.500 0.500 0.000
Ni1 0.500 0.500 0.500
Pb1 0.000 0.500 0.500
Pb2 0.500 0.000 0.500